Record 1
! PBE Ba3C, optimized geometry; values from VASP
&SYSTEM
  ibrav = 0, nat = 4, ntyp = 2
/
ATOMIC_SPECIES
Ba 137.33 Ba.upf
C 12.01 C.upf
ATOMIC_POSITIONS crystal
Ba 0.0000 0.0000 0.0000
Ba 0.5000 0.5000 0.3532
Ba 0.5000 0.5000 0.6468
C 0.0000 0.0000 0.5000
CELL_PARAMETERS angstrom
2.2225 -3.4190 0.0000
2.2225 3.4190 0.0000
0.0000 0.0000 11.3859
! * space-group type: Cmmm, No. 65
! * total DFT energy (no corrections): -3.0876 eV/atom
! * ΔH_f (0 K): 2.642 eV per formula unit
! * calculated density: 4.1 g cm⁻³
! * energy above the most stable polymorph in this dataset: 284 meV per atom
! * DOS at the Fermi energy: 0.834 states/eV/atom

Record 2
! PBE Mg2POs2, optimized geometry; values from VASP
&SYSTEM
  ibrav = 0, nat = 10, ntyp = 3
/
ATOMIC_SPECIES
Mg 24.30 Mg.upf
P 30.97 P.upf
Os 190.23 Os.upf
ATOMIC_POSITIONS crystal
Mg 0.1419 0.3581 0.0000
Mg 0.3581 0.8581 0.0000
Mg 0.6419 0.1419 0.0000
Mg 0.8581 0.6419 0.0000
P 0.0000 0.0000 0.0000
P 0.5000 0.5000 0.0000
Os 0.1621 0.6621 0.5000
Os 0.3379 0.1621 0.5000
Os 0.6621 0.8379 0.5000
Os 0.8379 0.3379 0.5000
CELL_PARAMETERS angstrom
6.2215 0.0000 0.0000
0.0000 6.2215 0.0000
0.0000 0.0000 3.9938
! * space-group type: P4/mbm, No. 127
! * total DFT energy (no corrections): -5.3782 eV/atom
! * ΔH_f (0 K): 4.168 eV per formula unit
! * calculated density: 9.9 g cm⁻³
! * energy above the most stable polymorph in this dataset: 1021 meV per atom
! * DOS at the Fermi energy: 0.615 states/eV/atom

Record 3
! PBE InFe2Pt2, optimized geometry; values from VASP
&SYSTEM
  ibrav = 0, nat = 5, ntyp = 3
/
ATOMIC_SPECIES
In 114.82 In.upf
Fe 55.84 Fe.upf
Pt 195.08 Pt.upf
ATOMIC_POSITIONS crystal
In 0.0000 0.0000 0.0000
Fe 0.2500 0.7500 0.5000
Fe 0.7500 0.2500 0.5000
Pt 0.3942 0.3942 0.0000
Pt 0.6058 0.6058 0.0000
CELL_PARAMETERS angstrom
-1.7697 1.7697 6.5740
1.7697 -1.7697 6.5740
1.7697 1.7697 -6.5740
! * space-group type: I4/mmm, No. 139
! * total DFT energy (no corrections): -6.3880 eV/atom
! * ΔH_f (0 K): -0.195 eV per formula unit
! * calculated density: 12.4 g cm⁻³
! * DOS at the Fermi energy: 1.009 states/eV/atom

total DFT energy (no corrections) of number 3 (InFe2Pt2)? -6.3880 eV/atom

Look up the ΔH_f (0 K) of the second one. 4.168 eV per formula unit

Which of these has the lowest DOS at the Fermi energy? Mg2POs2

Which of these has the lowest ΔH_f (0 K)? InFe2Pt2